Version 1
First-principles (PBE) data for Nd2Ta2O7 after structural relaxation, as listed in Alexandria via LeMat-Bulk.

Results
Mass density = 8.6 g/cm3
Magnetic moment = 0.7 μB per formula unit
N(E_F) = 0.440 states/eV/atom
Crystal system = cubic

a b c (Å): 10.564 10.564 10.564
angles (deg): 90.00 90.00 90.00
Space group Fd-3m (No. 227, origin choice 2)
Asymmetric unit:
Nd  0.000  0.000  0.000 [16 per cell]
Ta  0.000  0.000  0.500 [16 per cell]
O  0.088  0.375  0.875 [48 per cell]
O  0.125  0.125  0.125 [8 per cell]


Version 2
First-principles (PBE) data for Nd2Ta2O7 after structural relaxation, as listed in Alexandria via LeMat-Bulk.

Results
Mass density = 6.9 g/cm3
Magnetic moment = 0.0 μB per formula unit
N(E_F) = 0.268 states/eV/atom
Crystal system = monoclinic

a b c (Å): 7.534 9.248 5.475
angles (deg): 90.00 105.57 90.00
Space group C2/m (No. 12)
Asymmetric unit:
Nd  0.000  0.204  0.000 [4 per cell]
Ta  0.222  0.500  0.389 [4 per cell]
O  0.000  0.500  0.500 [2 per cell]
O  0.119  0.000  0.269 [4 per cell]
O  0.226  0.173  0.760 [8 per cell]


Energy above the most stable structure, in eV/atom: version 1 0.000; version 2 0.092


Version 1
First-principles (PBE) data for NdTa3O9 after structural relaxation, as listed in Alexandria via LeMat-Bulk.

Results
Mass density = 7.4 g/cm3
Magnetic moment = 0.0 μB per formula unit
N(E_F) = 0.000 states/eV/atom
Crystal system = triclinic

a b c (Å): 5.575 8.811 8.890
angles (deg): 101.60 108.23 108.33
Space group P-1 (No. 2)
Asymmetric unit:
Nd  0.179  0.339  0.499 [2 per cell]
Ta  0.166  0.082  0.750 [2 per cell]
Ta  0.166  0.587  0.241 [2 per cell]
Ta  0.487  0.239  0.234 [2 per cell]
O  0.000  0.000  0.500 [1 per cell]
O  0.000  0.500  0.000 [1 per cell]
O  0.005  0.254  0.726 [2 per cell]
O  0.138  0.567  0.705 [2 per cell]
O  0.176  0.085  0.258 [2 per cell]
O  0.284  0.890  0.720 [2 per cell]
O  0.327  0.412  0.248 [2 per cell]
O  0.353  0.164  0.996 [2 per cell]
O  0.373  0.643  0.500 [2 per cell]
O  0.488  0.249  0.735 [2 per cell]


Version 2
First-principles (PBE) data for NdTa3O9 after structural relaxation, as listed in Alexandria via LeMat-Bulk.

Results
Mass density = 8.0 g/cm3
Magnetic moment = 0.0 μB per formula unit
N(E_F) = 0.000 states/eV/atom
Crystal system = monoclinic

a b c (Å): 5.442 7.613 8.311
angles (deg): 90.00 92.44 90.00
Space group P2_1/m (No. 11)
Asymmetric unit:
Nd  0.034  0.250  0.434 [2 per cell]
Ta  0.000  0.000  0.000 [2 per cell]
Ta  0.473  0.007  0.698 [4 per cell]
O  0.083  0.250  0.983 [2 per cell]
O  0.155  0.557  0.787 [4 per cell]
O  0.265  0.538  0.468 [4 per cell]
O  0.317  0.547  0.123 [4 per cell]
O  0.353  0.250  0.661 [2 per cell]
O  0.439  0.250  0.313 [2 per cell]


Energy above the most stable structure, in eV/atom: version 1 0.015; version 2 0.000


Version 1
First-principles (PBE) data for NdTaTiO6 after structural relaxation, as listed in Alexandria via LeMat-Bulk.

Results
Mass density = 6.9 g/cm3
Magnetic moment = 0.0 μB per formula unit
N(E_F) = 0.000 states/eV/atom
Crystal system = orthorhombic

a b c (Å): 11.111 5.390 7.547
angles (deg): 90.00 90.00 90.00
Space group Pna2_1 (No. 33)
Asymmetric unit:
Nd  0.044  0.044  0.000 [4 per cell]
Ta  0.144  0.537  0.257 [4 per cell]
Ti  0.142  0.535  0.743 [4 per cell]
O  0.025  0.270  0.713 [4 per cell]
O  0.029  0.264  0.290 [4 per cell]
O  0.121  0.660  0.503 [4 per cell]
O  0.144  0.452  0.000 [4 per cell]
O  0.208  0.872  0.811 [4 per cell]
O  0.213  0.875  0.192 [4 per cell]


Version 2
First-principles (PBE) data for NdTaTiO6 after structural relaxation, as listed in Alexandria via LeMat-Bulk.

Results
Mass density = 6.4 g/cm3
Magnetic moment = 0.0 μB per formula unit
N(E_F) = 0.000 states/eV/atom
Crystal system = trigonal

a b c (Å): 5.2422 5.2422 10.1854
angles (deg): 90.00 90.00 120.00
Space group P-31c (No. 163)
Asymmetric unit:
Nd  0.0000  0.0000  0.0000 [2 per cell]
Ta  0.3333  0.6667  0.2500 [2 per cell]
Ti  0.3333  0.6667  0.7500 [2 per cell]
O  0.0029  0.3695  0.6428 [12 per cell]


Energy above the most stable structure, in eV/atom: version 1 0.000; version 2 0.024


Version 1
First-principles (PBE) data for Tb2NdO after structural relaxation, as listed in Alexandria via LeMat-Bulk.

Results
Mass density = 7.9 g/cm3
Magnetic moment = 0.0 μB per formula unit
N(E_F) = 1.101 states/eV/atom
Crystal system = trigonal

a b c (Å): 3.5110 3.5110 28.4092
angles (deg): 90.00 90.00 120.00
Space group R-3m (No. 166, hexagonal axes)
Asymmetric unit:
Tb  0.0000  0.0000  0.1203 [6 per cell]
Nd  0.0000  0.0000  0.0000 [3 per cell]
O  0.0000  0.0000  0.5000 [3 per cell]


Version 2
First-principles (PBE) data for Tb2NdO after structural relaxation, as listed in Alexandria via LeMat-Bulk.

Results
Mass density = 8.6 g/cm3
Magnetic moment = 0.0 μB per formula unit
N(E_F) = 1.240 states/eV/atom
Crystal system = tetragonal

a b c (Å): 3.205 3.205 8.941
angles (deg): 90.00 90.00 90.00
Space group P4/mmm (No. 123)
Asymmetric unit:
Tb  0.000  0.000  0.172 [2 per cell]
Nd  0.500  0.500  0.500 [1 per cell]
O  0.500  0.500  0.000 [1 per cell]


Energy above the most stable structure, in eV/atom: version 1 0.000; version 2 0.408


Version 1
First-principles (PBE) data for NdTcO5 after structural relaxation, as listed in Alexandria via LeMat-Bulk.

Results
Mass density = 5.1 g/cm3
Magnetic moment = 0.0 μB per formula unit
N(E_F) = 0.009 states/eV/atom
Crystal system = monoclinic

a b c (Å): 9.198 6.520 7.662
angles (deg): 90.00 114.56 90.00
Space group C2/c (No. 15)
Asymmetric unit:
Nd  0.000  0.057  0.250 [4 per cell]
Tc  0.000  0.500  0.000 [4 per cell]
O  0.000  0.433  0.250 [4 per cell]
O  0.011  0.214  0.963 [8 per cell]
O  0.218  0.484  0.611 [8 per cell]


Version 2
First-principles (PBE) data for NdTcO5 after structural relaxation, as listed in Alexandria via LeMat-Bulk.

Results
Mass density = 5.9 g/cm3
Magnetic moment = 0.0 μB per formula unit
Crystal system = orthorhombic

a b c (Å): 6.877 5.411 9.753
angles (deg): 90.00 90.00 90.00
Space group Cmcm (No. 63)
Asymmetric unit:
Nd  0.000  0.000  0.000 [4 per cell]
Tc  0.000  0.440  0.250 [4 per cell]
O  0.000  0.236  0.750 [4 per cell]
O  0.178  0.337  0.119 [16 per cell]


Energy above the most stable structure, in eV/atom: version 1 0.000; version 2 0.031


Version 1
First-principles (PBE) data for Nd4Tl2O after structural relaxation, as listed in Alexandria via LeMat-Bulk.

Results
Mass density = 7.6 g/cm3
Magnetic moment = 0.0 μB per formula unit
N(E_F) = 0.740 states/eV/atom
Crystal system = orthorhombic

a b c (Å): 5.127 23.852 3.589
angles (deg): 90.00 90.00 90.00
Space group Cmmm (No. 65)
Asymmetric unit:
Nd  0.000  0.069  0.000 [4 per cell]
Nd  0.000  0.201  0.500 [4 per cell]
Tl  0.000  0.342  0.000 [4 per cell]
O  0.000  0.000  0.500 [2 per cell]


Version 2
First-principles (PBE) data for Nd4Tl2O after structural relaxation, as listed in Alexandria via LeMat-Bulk.

Results
Mass density = 8.0 g/cm3
Magnetic moment = 0.0 μB per formula unit
N(E_F) = 0.742 states/eV/atom
Crystal system = monoclinic

a b c (Å): 6.691 7.097 9.378
angles (deg): 90.00 110.30 90.00
Space group P2_1/m (No. 11)
Asymmetric unit:
Nd  0.031  0.001  0.277 [4 per cell]
Nd  0.375  0.250  0.055 [2 per cell]
Nd  0.427  0.250  0.650 [2 per cell]
Tl  0.192  0.750  0.030 [2 per cell]
Tl  0.308  0.750  0.588 [2 per cell]
O  0.204  0.250  0.794 [2 per cell]


Energy above the most stable structure, in eV/atom: version 1 0.252; version 2 0.000


Version 1
First-principles (PBE) data for Nd6Tl2O after structural relaxation, as listed in Alexandria via LeMat-Bulk.

Results
Mass density = 8.0 g/cm3
Magnetic moment = 0.0 μB per formula unit
N(E_F) = 1.181 states/eV/atom
Crystal system = orthorhombic

a b c (Å): 3.628 15.168 9.726
angles (deg): 90.00 90.00 90.00
Space group Amm2 (No. 38)
Asymmetric unit:
Nd  0.000  0.000  0.000 [2 per cell]
Nd  0.000  0.117  0.697 [4 per cell]
Nd  0.500  0.000  0.399 [2 per cell]
Nd  0.500  0.238  0.977 [4 per cell]
Tl  0.000  0.157  0.233 [4 per cell]
O  0.500  0.000  0.850 [2 per cell]


Version 2
First-principles (PBE) data for Nd6Tl2O after structural relaxation, as listed in Alexandria via LeMat-Bulk.

Results
Mass density = 8.3 g/cm3
Magnetic moment = 0.0 μB per formula unit
N(E_F) = 0.627 states/eV/atom
Crystal system = cubic

a b c (Å): 10.093 10.093 10.093
angles (deg): 90.00 90.00 90.00
Space group Fm-3m (No. 225)
Asymmetric unit:
Nd  0.000  0.000  0.247 [24 per cell]
Tl  0.250  0.250  0.250 [8 per cell]
O  0.000  0.000  0.000 [4 per cell]


Energy above the most stable structure, in eV/atom: version 1 0.183; version 2 0.000